Density functional theory data (PBE) for a geometry-optimized YAlZn structure.

Unit cell a=4.1152 b=4.1152 c=7.4105 alpha=90.00 beta=90.00 gamma=90.00
Closest atoms and distances in Å follow each position.
Space group P4/nmm (No. 129, origin choice 2)
Unique sites:
Y1 0.2500 0.2500 0.1598 (multiplicity 2)  5 Zn 3.01-3.16, 4 Al 3.25
Al1 0.2500 0.7500 0.5000 (multiplicity 2)  4 Zn 2.69, 4 Al 2.91
Zn1 0.2500 0.2500 0.7337 (multiplicity 2)  4 Al 2.69

Computed properties:
Energy relative to the elements ... -1.2 eV/f.u.
Calculated total energy ... -25.40 eV per cell